No. 1
The following is a GGA-PBE calculation of an optimized crystal structure of InNi3N, from Alexandria.

Values from the calculation:
VASP energy: -5.25 eV/atom
Space group: Cmcm
Formation energy (no corrections): 0.432 eV per atom
M_tot: 0.00 μB per formula unit

```
InNi3N
1.0
2.454 -7.431 0.000
2.454 7.431 0.000
0.000 0.000 4.660
Ni N In
6 2 2
Direct
0.359 0.127 0.750 Ni
0.873 0.641 0.750 Ni
0.000 0.000 0.000 Ni
0.127 0.359 0.250 Ni
0.000 0.000 0.500 Ni
0.641 0.873 0.250 Ni
0.304 0.696 0.250 N
0.696 0.304 0.750 N
0.160 0.840 0.250 In
0.840 0.160 0.750 In
```

---

No. 2
The following is a GGA-PBE calculation of an optimized crystal structure of InNi3N, from Alexandria.

Values from the calculation:
VASP energy: -5.16 eV/atom
Space group: P6_3/mmc
Formation energy (no corrections): 0.525 eV per atom
M_tot: 0.00 μB per formula unit

```
InNi3N
1.0
-2.637 2.161 2.640
0.710 -4.207 0.630
5.814 1.649 4.457
Ni In N
6 2 2
Direct
0.000 0.000 0.250 Ni
0.333 0.667 0.415 Ni
0.333 0.667 0.085 Ni
0.667 0.333 0.915 Ni
0.667 0.333 0.585 Ni
0.000 0.000 0.750 Ni
0.667 0.333 0.250 In
0.333 0.667 0.750 In
0.000 0.000 0.500 N
0.000 0.000 0.000 N
```

---

No. 3
The following is a GGA-PBE calculation of an optimized crystal structure of InNi3N, from Alexandria.

Values from the calculation:
VASP energy: -5.62 eV/atom
Space group: P2_1/c
Formation energy (no corrections): 0.058 eV per atom
M_tot: 0.00 μB per formula unit

```
InNi3N
1.0
-8.517 2.047 -18.140
-0.525 -5.054 -0.324
0.597 -0.496 6.774
Ni N In
12 4 4
Direct
0.063 0.604 0.501 Ni
0.940 0.047 0.000 Ni
0.560 0.547 0.500 Ni
0.815 0.601 0.491 Ni
0.440 0.453 0.500 Ni
0.315 0.899 0.991 Ni
0.060 0.953 0.000 Ni
0.563 0.896 0.001 Ni
0.685 0.101 0.009 Ni
0.937 0.396 0.499 Ni
0.437 0.104 0.999 Ni
0.185 0.399 0.509 Ni
0.930 0.262 0.733 N
0.430 0.238 0.233 N
0.070 0.738 0.267 N
0.570 0.762 0.767 N
0.195 0.129 0.000 In
0.695 0.371 0.500 In
0.805 0.871 0.000 In
0.305 0.629 0.500 In
```

---

No. 4
The following is a GGA-PBE calculation of an optimized crystal structure of InNi3N, from Alexandria.

Values from the calculation:
VASP energy: -5.68 eV/atom
Space group: Cm
Formation energy (no corrections): 0.000 eV per atom
M_tot: 0.00 μB per formula unit

```
InNi3N
1.0
5.532 0.002 0.005
-0.001 3.754 0.000
2.740 1.877 6.528
Ni N In
6 2 2
Direct
0.795 0.831 0.362 Ni
0.923 0.229 0.564 Ni
0.236 0.041 0.941 Ni
0.110 0.650 0.723 Ni
0.908 0.439 0.145 Ni
0.581 0.621 0.783 Ni
0.226 0.542 0.939 N
0.910 0.728 0.566 N
0.438 0.268 0.487 In
0.675 0.003 0.018 In
```

---

No. 5
The following is a GGA-PBE calculation of an optimized crystal structure of InNi3N, from Alexandria.

Values from the calculation:
VASP energy: -5.69 eV/atom
Space group: Cm
Formation energy (no corrections): -0.009 eV per atom
M_tot: 0.00 μB per formula unit

```
InNi3N
1.0
5.131 -0.003 -0.005
-0.307 5.125 0.005
0.013 -0.012 4.801
In Ni N
2 6 2
Direct
0.260 0.885 0.919 In
0.680 0.465 0.921 In
0.970 0.175 0.238 Ni
0.471 0.673 0.483 Ni
0.470 0.173 0.357 Ni
0.154 0.360 0.751 Ni
0.971 0.674 0.357 Ni
0.785 0.990 0.751 Ni
0.725 0.928 0.381 N
0.216 0.419 0.381 N
```

---

No. 6
The following is a GGA-PBE calculation of an optimized crystal structure of In2Ni6N, from Alexandria.

Values from the calculation:
VASP energy: -5.49 eV/atom
Space group: Fm-3m
Formation energy (no corrections): -0.101 eV per atom
M_tot: 0.00 μB per formula unit

```
In2Ni6N
1.0
4.658 0.002 2.688
1.551 4.392 2.688
0.001 0.001 5.378
Ni In N
6 2 1
Direct
0.751 0.751 0.249 Ni
0.751 0.249 0.249 Ni
0.249 0.751 0.249 Ni
0.751 0.249 0.751 Ni
0.249 0.751 0.751 Ni
0.249 0.249 0.751 Ni
0.750 0.750 0.750 In
0.250 0.250 0.250 In
0.500 0.500 0.500 N
```

---

No. 7
The following is a GGA-PBE calculation of an optimized crystal structure of InNi3N, from Alexandria.

Values from the calculation:
VASP energy: -5.70 eV/atom
Space group: Cmmm
Formation energy (no corrections): -0.020 eV per atom
M_tot: 0.00 μB per formula unit

```
InNi3N
1.0
-3.075 2.824 -4.627
-2.490 -4.386 2.305
-1.687 2.276 2.510
Ni In N
6 2 2
Direct
0.720 0.849 0.854 Ni
0.970 0.224 0.354 Ni
0.470 0.968 0.354 Ni
0.970 0.724 0.354 Ni
0.220 0.599 0.854 Ni
0.470 0.480 0.354 Ni
0.728 0.353 0.854 In
0.212 0.095 0.854 In
0.212 0.595 0.354 N
0.728 0.853 0.354 N
```

---

No. 8
The following is a GGA-PBE calculation of an optimized crystal structure of InNiN2, from Alexandria.

Values from the calculation:
VASP energy: -5.52 eV/atom
Space group: R-3m
Formation energy (no corrections): 0.769 eV per atom
M_tot: 0.00 μB per formula unit

```
InNiN2
1.0
-6.013 -0.509 1.180
-4.453 -1.814 3.832
-4.788 1.499 3.554
Ni In N
1 1 2
Direct
0.000 0.000 0.000 Ni
0.500 0.500 0.500 In
0.901 0.901 0.901 N
0.099 0.099 0.099 N
```